Entry 1:
A relaxed ZnGaPtO6 crystal. Source: Alexandria, functional PBE.

```
data_ZnGaPtO6
_cell_length_a 5.154
_cell_length_b 5.154
_cell_length_c 8.630
_cell_angle_alpha 90.00
_cell_angle_beta 90.00
_cell_angle_gamma 120.00
_space_group_name_H-M_alt 'P 1'
_space_group_IT_number 1
_space_group_name_Hall 'P 1'
loop_
_atom_site_label
_atom_site_type_symbol
_atom_site_fract_x
_atom_site_fract_y
_atom_site_fract_z
Zn1 Zn 0.000 0.000 0.000
Zn2 Zn 0.000 0.000 0.500
Ga1 Ga 0.333 0.667 0.250
Ga2 Ga 0.667 0.333 0.750
Pt1 Pt 0.333 0.667 0.750
Pt2 Pt 0.667 0.333 0.250
O1 O 0.003 0.354 0.628
O2 O 0.003 0.649 0.872
O3 O 0.351 0.354 0.872
O4 O 0.351 0.997 0.628
O5 O 0.354 0.003 0.128
O6 O 0.354 0.351 0.372
O7 O 0.646 0.649 0.628
O8 O 0.646 0.997 0.872
O9 O 0.649 0.003 0.372
O10 O 0.649 0.646 0.128
O11 O 0.997 0.351 0.128
O12 O 0.997 0.646 0.372
```

Computed properties:
N(E_F) in states/eV per cell: 11.954
Space-group type: P-31c, No. 163

---

Entry 2:
A relaxed PuGaO5 crystal. Source: Alexandria, functional PBE.

```
data_PuGaO5
_cell_length_a 5.378
_cell_length_b 5.378
_cell_length_c 8.365
_cell_angle_alpha 114.72
_cell_angle_beta 114.72
_cell_angle_gamma 66.61
_space_group_name_H-M_alt 'P 1'
_space_group_IT_number 1
_space_group_name_Hall 'P 1'
loop_
_atom_site_label
_atom_site_type_symbol
_atom_site_fract_x
_atom_site_fract_y
_atom_site_fract_z
Pu1 Pu 0.000 0.000 0.000
Pu2 Pu 0.000 0.000 0.500
Ga1 Ga 0.478 0.522 0.750
Ga2 Ga 0.522 0.478 0.250
O1 O 0.161 0.839 0.750
O2 O 0.209 0.271 0.641
O3 O 0.271 0.209 0.141
O4 O 0.278 0.664 0.067
O5 O 0.336 0.722 0.433
O6 O 0.664 0.278 0.567
O7 O 0.722 0.336 0.933
O8 O 0.729 0.791 0.859
O9 O 0.791 0.729 0.359
O10 O 0.839 0.161 0.250
```

Computed properties:
Space-group type: C2/c, No. 15

---

Entry 3:
A relaxed PuGaO4 crystal. Source: Alexandria, functional PBE.

```
data_PuGaO4
_cell_length_a 6.368
_cell_length_b 6.368
_cell_length_c 6.368
_cell_angle_alpha 121.78
_cell_angle_beta 121.78
_cell_angle_gamma 86.95
_space_group_name_H-M_alt 'P 1'
_space_group_IT_number 1
_space_group_name_Hall 'P 1'
loop_
_atom_site_label
_atom_site_type_symbol
_atom_site_fract_x
_atom_site_fract_y
_atom_site_fract_z
Pu1 Pu 0.000 0.000 0.000
Ga1 Ga 0.250 0.750 0.500
O1 O 0.129 0.869 0.260
O2 O 0.131 0.391 0.260
O3 O 0.131 0.871 0.740
O4 O 0.609 0.869 0.740
```

Computed properties:
N(E_F) in states/eV per cell: 9.324
Space-group type: I-4m2, No. 119

---

Entry 4:
A relaxed Pu2GaO8 crystal. Source: Alexandria, functional PBE.

```
data_Pu2GaO8
_cell_length_a 5.714
_cell_length_b 5.714
_cell_length_c 5.231
_cell_angle_alpha 110.64
_cell_angle_beta 110.64
_cell_angle_gamma 70.40
_space_group_name_H-M_alt 'P 1'
_space_group_IT_number 1
_space_group_name_Hall 'P 1'
loop_
_atom_site_label
_atom_site_type_symbol
_atom_site_fract_x
_atom_site_fract_y
_atom_site_fract_z
Pu1 Pu 0.180 0.180 0.279
Pu2 Pu 0.820 0.820 0.721
Ga1 Ga 0.500 0.500 0.000
O1 O 0.035 0.035 0.787
O2 O 0.147 0.531 0.759
O3 O 0.374 0.374 0.259
O4 O 0.469 0.853 0.241
O5 O 0.531 0.147 0.759
O6 O 0.626 0.626 0.741
O7 O 0.853 0.469 0.241
O8 O 0.965 0.965 0.213
```

Computed properties:
N(E_F) in states/eV per cell: 5.491
Space-group type: C2/m, No. 12

---

Entry 5:
A relaxed PuGa2O6 crystal. Source: Alexandria, functional PBE.

```
data_PuGa2O6
_cell_length_a 4.786
_cell_length_b 4.786
_cell_length_c 9.226
_cell_angle_alpha 90.00
_cell_angle_beta 90.00
_cell_angle_gamma 90.00
_space_group_name_H-M_alt 'P 1'
_space_group_IT_number 1
_space_group_name_Hall 'P 1'
loop_
_atom_site_label
_atom_site_type_symbol
_atom_site_fract_x
_atom_site_fract_y
_atom_site_fract_z
Pu1 Pu 0.000 0.000 0.000
Pu2 Pu 0.500 0.500 0.500
Ga1 Ga 0.000 0.000 0.336
Ga2 Ga 0.000 0.000 0.664
Ga3 Ga 0.500 0.500 0.164
Ga4 Ga 0.500 0.500 0.836
O1 O 0.187 0.187 0.500
O2 O 0.197 0.197 0.171
O3 O 0.197 0.197 0.829
O4 O 0.303 0.697 0.329
O5 O 0.303 0.697 0.671
O6 O 0.313 0.687 0.000
O7 O 0.687 0.313 0.000
O8 O 0.697 0.303 0.329
O9 O 0.697 0.303 0.671
O10 O 0.803 0.803 0.171
O11 O 0.803 0.803 0.829
O12 O 0.813 0.813 0.500
```

Computed properties:
N(E_F) in states/eV per cell: 8.443
Space-group type: P4_2/mnm, No. 136

---

Entry 6:
A relaxed PuGaO2 crystal. Source: Alexandria, functional PBE.

```
data_PuGaO2
_cell_length_a 6.970
_cell_length_b 6.970
_cell_length_c 6.970
_cell_angle_alpha 25.64
_cell_angle_beta 25.64
_cell_angle_gamma 25.64
_space_group_name_H-M_alt 'P 1'
_space_group_IT_number 1
_space_group_name_Hall 'P 1'
loop_
_atom_site_label
_atom_site_type_symbol
_atom_site_fract_x
_atom_site_fract_y
_atom_site_fract_z
Pu1 Pu 0.000 0.000 0.000
Ga1 Ga 0.500 0.500 0.500
O1 O 0.116 0.116 0.116
O2 O 0.884 0.884 0.884
```

Computed properties:
N(E_F) in states/eV per cell: 5.537
Space-group type: R-3m, No. 166

---

Total moment for every record listed, in sequence, given in μB/atom: 0.000 0.142 0.500 0.273 0.222 1.371.
ΔE_f (raw) for every record listed, in sequence, given in meV/atom: -780 -1974 -2020 -2084 -2046 -1538.